Density functional theory data (GGA-PBE) for Zr2U5S12 after structural relaxation.

abc: 15.2836 7.0049 8.7404
angles: 90.00 107.13 90.00
Space group C2/m (No. 12)
Inequivalent atoms, fractional coordinates:
Zr: 0.0000 0.2441 0.0000 x4
U: 0.0000 0.5000 0.5000 x2
U: 0.1815 0.0000 0.8355 x4
U: 0.1988 0.0000 0.3514 x4
S: 0.0055 0.0000 0.2285 x4
S: 0.0096 0.5000 0.8011 x4
S: 0.1496 0.2499 0.5660 x8
S: 0.1747 0.2423 0.0938 x8

E_form (uncorrected), meV per atom: -1406.6
Calculated density, g/cm³: 6.53
Size of the total moment, μB/atom: 0.71